{
  "formula": "Pu6Th",
  "functional": "PBE",
  "state": "optimized geometry",
  "cell": [[6.700, 0.000, 0.000], [0.000, 6.700, 0.000], [0.000, 0.000, 6.700]],
  "species": ["Pu", "Pu", "Pu", "Pu", "Pu", "Pu", "Pu", "Pu", "Pu", "Pu", "Pu", "Pu", "Th", "Th"],
  "fractional_positions": [[0.000, 0.250, 0.500], [0.000, 0.500, 0.250], [0.000, 0.500, 0.750], [0.000, 0.750, 0.500], [0.250, 0.000, 0.500], [0.250, 0.500, 0.000], [0.500, 0.000, 0.250], [0.500, 0.000, 0.750], [0.500, 0.250, 0.000], [0.500, 0.750, 0.000], [0.750, 0.000, 0.500], [0.750, 0.500, 0.000], [0.000, 0.000, 0.000], [0.500, 0.500, 0.500]],
  "m_tot_mub_per_cell": 0.000,
  "sg": "Im-3m (229)",
  "dft_energy_ev_per_fu": -92.4,
  "dos_at_fermi_per_ev_cell": 34.1,
  "volume_a3_per_cell": 300.7,
  "delta_e_f_ev_per_atom": 0.149
}

***

{
  "formula": "Pu3Th",
  "functional": "PBE",
  "state": "optimized geometry",
  "cell": [[4.810, 0.000, 0.000], [0.000, 4.810, 0.000], [0.000, 0.000, 4.810]],
  "species": ["Pu", "Pu", "Pu", "Th"],
  "fractional_positions": [[0.000, 0.000, 0.500], [0.000, 0.500, 0.000], [0.500, 0.000, 0.000], [0.500, 0.500, 0.500]],
  "m_tot_mub_per_cell": 16.982,
  "sg": "Pm-3m (221)",
  "dft_energy_ev_per_fu": -49.4,
  "dos_at_fermi_per_ev_cell": 19.2,
  "volume_a3_per_cell": 111.3,
  "delta_e_f_ev_per_atom": 0.265
}

***

{
  "formula": "PuThTi2",
  "functional": "PBE",
  "state": "optimized geometry",
  "cell": [[4.458, 0.000, 0.000], [0.000, 4.458, 0.000], [0.000, 0.000, 4.531]],
  "species": ["Pu", "Th", "Ti", "Ti"],
  "fractional_positions": [[0.000, 0.000, 0.000], [0.500, 0.500, 0.000], [0.000, 0.500, 0.500], [0.500, 0.000, 0.500]],
  "m_tot_mub_per_cell": 5.934,
  "sg": "P4/mmm (123)",
  "dft_energy_ev_per_fu": -36.7,
  "dos_at_fermi_per_ev_cell": 7.9,
  "volume_a3_per_cell": 90.1,
  "delta_e_f_ev_per_atom": 0.207
}

***

{
  "formula": "PuThTi2",
  "functional": "PBE",
  "state": "optimized geometry",
  "cell": [[3.634, 0.000, 0.000], [0.000, 3.634, 0.000], [0.000, 0.000, 6.933]],
  "species": ["Pu", "Th", "Ti", "Ti"],
  "fractional_positions": [[0.000, 0.000, 0.000], [0.000, 0.000, 0.500], [0.500, 0.500, 0.202], [0.500, 0.500, 0.798]],
  "m_tot_mub_per_cell": 5.219,
  "sg": "P4/mmm (123)",
  "dft_energy_ev_per_fu": -36.7,
  "dos_at_fermi_per_ev_cell": 7.7,
  "volume_a3_per_cell": 91.6,
  "delta_e_f_ev_per_atom": 0.217
}